Computed, not measured: NpFeCo2O6 after structural relaxation at the PBE+U level of DFT.

Cell lengths 5.3068, 5.3068, 14.4084 Å; angles 90.00, 90.00, 120.00 degrees
Closest atoms and distances in Å follow each position.
Space group R3 (No. 146, hexagonal axes)
Symmetry-distinct sites (fractional):
Np 0.0000 0.0000 0.0000  6 O 2.14-2.16
Fe 0.0000 0.0000 0.4976  6 O 2.03-2.11
Co 0.0000 0.0000 0.2091  3 O 2.02
Co 0.0000 0.0000 0.7024  6 O 2.08-2.22
O 0.0019 0.2993 0.5939  2 Co 2.02-2.22, 1 Fe 2.11, 1 Np 2.14
O 0.0140 0.6963 0.0963  1 Fe 2.03, 1 Co 2.08, 1 Np 2.16

Crystal system: trigonal
E (Ha/atom): -0.27983

---

Computed, not measured: NpFeCoO6 after structural relaxation at the PBE+U level of DFT.

Cell lengths 5.1507, 5.1507, 8.9988 Å; angles 90.00, 90.00, 120.00 degrees
Closest atoms and distances in Å follow each position.
Space group P-31c (No. 163)
Symmetry-distinct sites (fractional):
Np 0.3333 0.6667 0.2500  6 O 2.03
Fe 0.3333 0.6667 0.7500  6 O 1.96
Co 0.0000 0.0000 0.0000  6 O 2.13
O 0.0103 0.3474 0.6325  1 Fe 1.96, 1 Np 2.03, 1 Co 2.13

Crystal system: trigonal
E (Ha/atom): -0.27942

---

Computed, not measured: NpFeCo2O8 after structural relaxation at the PBE+U level of DFT.

Cell lengths 6.6505, 6.6505, 6.6838 Å; angles 90.00, 90.00, 90.00 degrees
Closest atoms and distances in Å follow each position.
Space group I-4m2 (No. 119)
Symmetry-distinct sites (fractional):
Np 0.0000 0.0000 0.0000  4 O 1.98
Fe 0.0000 0.5000 0.2500  4 O 2.03
Co 0.0000 0.0000 0.5000  4 O 1.82
Co 0.0000 0.5000 0.7500  4 O 1.89
O 0.0000 0.2017 0.3163  1 Co 1.82, 1 Fe 2.03
O 0.0000 0.2919 0.9436  1 Co 1.89, 1 Np 1.98

Crystal system: tetragonal
E (Ha/atom): -0.25749

---

Computed, not measured: NpFe2CoO6 after structural relaxation at the PBE+U level of DFT.

Cell lengths 10.2714, 5.5637, 4.9871 Å; angles 90.00, 115.74, 90.00 degrees
Closest atoms and distances in Å follow each position.
Space group C2/m (No. 12)
Symmetry-distinct sites (fractional):
Np 0.0000 0.0000 0.0000  2 O 1.93
Fe 0.2455 0.0000 0.6456  5 O 2.02-2.17
Co 0.0000 0.5000 0.5000  4 O 1.93
O 0.0951 0.2656 0.3598  1 Co 1.93, 2 Fe 2.10-2.17
O 0.1822 0.0000 0.9766  1 Np 1.93, 1 Fe 2.02

Crystal system: monoclinic
E (Ha/atom): -0.28289